Computed, not measured: a relaxed BIrPd crystal at the PBE level of DFT.

Properties
Magnetic moment: 0.0 Bohr magnetons per cell
Energy above the lowest structure with this stoichiometry: 0.0 meV/atom
Fermi-level density of states: 16.1 states/eV per cell
DFT formation energy: -275 meV per atom
ρ: 13.54 g/cm3

Lattice parameters (Å, degrees): 8.8435 10.2460 6.7036 90.00 90.00 90.00
With the nearest neighbours (Å) after each atom.
Space group Fdd2 (No. 43)
One atom of each set of equivalent atoms:
B 0.0594 0.2652 0.0000 [16 per cell]  4 Ir 2.13-2.18, 2 Pd 2.27-2.34
Ir 0.0140 0.3675 0.2696 [16 per cell]  4 B 2.13-2.18
Pd 0.0865 0.3844 0.6809 [16 per cell]  3 B 2.27-2.47


Computed, not measured: a relaxed Al2CdC crystal at the PBE level of DFT.

Properties
Magnetic moment: 0.0 Bohr magnetons per cell
Fermi-level density of states: 7.8 states/eV per cell
DFT formation energy: 1277 meV per atom
ρ: 4.66 g/cm3

Lattice parameters (Å, degrees): 6.3364 6.3364 6.3364 90.00 90.00 90.00
With the nearest neighbours (Å) after each atom.
Space group Fm-3m (No. 225)
One atom of each set of equivalent atoms:
Al 0.2500 0.2500 0.2500 [8 per cell]  4 Cd 2.74, 4 C 2.74
Cd 0.0000 0.0000 0.0000 [4 per cell]  8 Al 2.74
C 0.0000 0.0000 0.5000 [4 per cell]  8 Al 2.74


Computed, not measured: a relaxed Al8Fe4P crystal at the PBE level of DFT.

Properties
Magnetic moment: 10.8 Bohr magnetons per cell
Fermi-level density of states: 14.8 states/eV per cell
DFT formation energy: -129 meV per atom
ρ: 4.19 g/cm3

Lattice parameters (Å, degrees): 8.5543 8.5543 5.0948 90.00 90.00 90.00
With the nearest neighbours (Å) after each atom.
Space group I4/mmm (No. 139)
One atom of each set of equivalent atoms:
Al 0.0000 0.2260 0.0000 [8 per cell]  4 Fe 2.50, 4 Al 2.67-2.73
Al 0.0000 0.3208 0.5000 [8 per cell]  4 Fe 2.56, 4 Al 2.67-2.80, 1 P 2.74
Fe 0.2500 0.2500 0.2500 [8 per cell]  8 Al 2.50-2.56, 2 Fe 2.55
P 0.0000 0.0000 0.5000 [2 per cell]  4 Al 2.74


Computed, not measured: a relaxed Zn2CrCo crystal at the PBE level of DFT.

Properties
Magnetic moment: 15.4 Bohr magnetons per cell
Energy above the lowest structure with this stoichiometry: 96.8 meV/atom
Fermi-level density of states: 15.3 states/eV per cell
DFT formation energy: 135 meV per atom
ρ: 7.72 g/cm3

Lattice parameters (Å, degrees): 5.9256 5.9256 5.9256 90.00 90.00 90.00
With the nearest neighbours (Å) after each atom.
Space group Fm-3m (No. 225)
One atom of each set of equivalent atoms:
Zn 0.2500 0.2500 0.2500 [8 per cell]  4 Cr 2.57, 4 Co 2.57
Cr 0.0000 0.0000 0.0000 [4 per cell]  8 Zn 2.57
Co 0.0000 0.0000 0.5000 [4 per cell]  8 Zn 2.57


Computed, not measured: a relaxed La2Pm2Y7 crystal at the PBE level of DFT.

Properties
Magnetic moment: 0.0 Bohr magnetons per cell
Energy above the lowest structure with this stoichiometry: 52.8 meV/atom
Fermi-level density of states: 35.2 states/eV per cell
DFT formation energy: 210 meV per atom
ρ: 5.24 g/cm3

Lattice parameters (Å, degrees): 10.0803 11.2675 7.1211 90.00 111.23 90.00
With the nearest neighbours (Å) after each atom.
Space group C2/m (No. 12)
One atom of each set of equivalent atoms:
La 0.0000 0.1615 0.0000 [4 per cell]  6 Y 3.39-3.63, 1 La 3.64
Pm 0.1319 0.5000 0.4212 [4 per cell]  1 Pm 3.24, 5 Y 3.32-3.55
Y 0.0000 0.0000 0.5000 [2 per cell]  4 Y 3.34, 2 Pm 3.55
Y 0.1716 0.2514 0.6896 [8 per cell]  2 Pm 3.33-3.70, 5 Y 3.34-3.60, 2 La 3.39-3.42
Y 0.1853 0.5000 0.9881 [4 per cell]  2 Pm 3.32-3.46, 4 Y 3.49-3.60, 2 La 3.63


Computed, not measured: a relaxed Be2HgPb crystal at the PBE level of DFT.

Properties
Magnetic moment: 0.0 Bohr magnetons per cell
Energy above the lowest structure with this stoichiometry: 133.5 meV/atom
Fermi-level density of states: 2.0 states/eV per cell
DFT formation energy: 505 meV per atom
ρ: 9.60 g/cm3

Lattice parameters (Å, degrees): 4.3943 4.4069 7.6096 90.00 90.00 90.00
With the nearest neighbours (Å) after each atom.
Space group Cmm2 (No. 35)
One atom of each set of equivalent atoms:
Be 0.0000 0.0000 0.0000 [2 per cell]  4 Be 2.32
Be 0.0000 0.5000 0.0968 [2 per cell]  4 Be 2.32
Hg 0.0000 0.5000 0.7557 [2 per cell]  5 Be 2.60-2.88
Pb 0.0000 0.0000 0.3844 [2 per cell]  5 Be 2.93-3.11, 4 Pb 3.11


Computed, not measured: a relaxed Te2AsBr crystal at the PBE level of DFT.

Properties
Magnetic moment: 0.0 Bohr magnetons per cell
Energy above the lowest structure with this stoichiometry: 61.9 meV/atom
Fermi-level density of states: 4.8 states/eV per cell
ρ: 4.83 g/cm3
Raw formation energy: -0.005 eV per atom

Lattice parameters (Å, degrees): 7.6125 5.9300 12.9715 90.00 105.68 90.00
With the nearest neighbours (Å) after each atom.
Space group P2/c (No. 13)
One atom of each set of equivalent atoms:
Te 0.2143 0.1897 0.0847 [4 per cell]  1 As 2.57
Te 0.2527 0.0940 0.8532 [4 per cell]  2 As 2.69-2.98, 2 Br 2.95-2.99
As 0.0793 0.1888 0.6224 [4 per cell]  2 Te 2.57-2.69
Br 0.2561 0.4023 0.3650 [4 per cell]  2 Te 2.95-2.99


Computed, not measured: a relaxed CsPbO2 crystal at the PBE level of DFT.

Properties
Magnetic moment: 0.0 Bohr magnetons per cell
Fermi-level density of states: 2.7 states/eV per cell
ρ: 7.03 g/cm3
Raw formation energy: -0.961 eV per atom

Lattice parameters (Å, degrees): 3.7559 3.7559 7.1995 90.00 90.00 120.00
With the nearest neighbours (Å) after each atom.
Space group P3m1 (No. 156)
One atom of each set of equivalent atoms:
Cs 0.0000 0.0000 0.0000 [1 per cell]  4 O 2.91-2.94
Pb 0.6667 0.3333 0.5482 [1 per cell]  6 O 2.39-2.54
O 0.0000 0.0000 0.4081 [1 per cell]  3 Pb 2.39
O 0.3333 0.6667 0.7306 [1 per cell]  3 Pb 2.54


Computed, not measured: a relaxed Pu2ThSn crystal at the PBE level of DFT.

Properties
Magnetic moment: 51.6 Bohr magnetons per cell
Energy above the lowest structure with this stoichiometry: 242.6 meV/atom
Fermi-level density of states: 60.6 states/eV per cell
DFT formation energy: -23 meV per atom
ρ: 12.92 g/cm3

Lattice parameters (Å, degrees): 7.5543 7.5543 7.5543 90.00 90.00 90.00
With the nearest neighbours (Å) after each atom.
Space group Fm-3m (No. 225)
One atom of each set of equivalent atoms:
Pu 0.2500 0.2500 0.2500 [8 per cell]  4 Sn 3.27, 4 Th 3.27
Th 0.0000 0.0000 0.0000 [4 per cell]  8 Pu 3.27
Sn 0.0000 0.0000 0.5000 [4 per cell]  8 Pu 3.27


Computed, not measured: a relaxed PmPrNd6Dy2 crystal at the PBE level of DFT.

Properties
Magnetic moment: 0.0 Bohr magnetons per cell
Fermi-level density of states: 59.1 states/eV per cell
DFT formation energy: 113 meV per atom
ρ: 7.04 g/cm3

Lattice parameters (Å, degrees): 9.3350 15.3554 9.8138 90.00 97.85 90.00
With the nearest neighbours (Å) after each atom.
Space group C2/c (No. 15)
One atom of each set of equivalent atoms:
Pm 0.0000 0.0294 0.2500 [4 per cell]  4 Dy 3.45-3.46, 4 Nd 3.60-3.71
Pr 0.0000 0.4064 0.7500 [4 per cell]  6 Nd 3.51-3.62, 2 Dy 3.62
Nd 0.0661 0.1771 0.9442 [8 per cell]  7 Nd 3.46-3.84, 1 Dy 3.52, 1 Pm 3.71
Nd 0.0967 0.3922 0.1198 [8 per cell]  3 Nd 3.29-3.46, 3 Dy 3.36-3.52, 2 Pr 3.51-3.62
Nd 0.2087 0.2256 0.3174 [8 per cell]  2 Nd 3.29-3.64, 1 Dy 3.52, 1 Pr 3.53, 1 Pm 3.60
Dy 0.2450 0.0483 0.5469 [8 per cell]  6 Nd 3.36-3.72, 2 Pm 3.45-3.46, 1 Pr 3.62


Computed, not measured: a relaxed TbCe2Se4 crystal at the PBE level of DFT.

Properties
Magnetic moment: 9.7 Bohr magnetons per cell
Energy above the lowest structure with this stoichiometry: 32.0 meV/atom
Fermi-level density of states: 56.3 states/eV per cell
ρ: 6.34 g/cm3
Raw formation energy: -1.770 eV per atom

Lattice parameters (Å, degrees): 4.0256 13.9580 14.0702 90.00 90.00 90.00
With the nearest neighbours (Å) after each atom.
Space group Cmcm (No. 63)
One atom of each set of equivalent atoms:
Tb 0.0000 0.1246 0.2500 [4 per cell]  6 Se 2.90-2.97
Ce 0.0000 0.3669 0.0705 [8 per cell]  6 Se 2.91-3.02
Se 0.0000 0.0000 0.0000 [4 per cell]  4 Ce 2.91
Se 0.0000 0.2804 0.6262 [8 per cell]  2 Tb 2.97, 3 Ce 2.98-3.02
Se 0.0000 0.4754 0.2500 [4 per cell]  2 Tb 2.90, 2 Ce 2.94


Computed, not measured: a relaxed BePt crystal at the PBE level of DFT.

Properties
Magnetic moment: 0.0 Bohr magnetons per cell
Fermi-level density of states: 3.1 states/eV per cell
DFT formation energy: -460 meV per atom
ρ: 13.85 g/cm3

Lattice parameters (Å, degrees): 3.3801 3.3801 8.5666 90.00 90.00 90.00
With the nearest neighbours (Å) after each atom.
Space group I4_1/amd (No. 141, origin choice 2)
One atom of each set of equivalent atoms:
Be 0.0000 0.2500 0.3750 [4 per cell]  4 Pt 2.39
Pt 0.0000 0.2500 0.8750 [4 per cell]  4 Be 2.39


Computed, not measured: a relaxed NiP2 crystal at the PBE level of DFT.

Properties
Magnetic moment: 0.0 Bohr magnetons per cell
Fermi-level density of states: 5.6 states/eV per cell
DFT formation energy: 59 meV per atom
ρ: 4.90 g/cm3

Lattice parameters (Å, degrees): 3.2101 18.2201 2.7984 90.00 90.00 90.00
With the nearest neighbours (Å) after each atom.
Space group Cmcm (No. 63)
One atom of each set of equivalent atoms:
Ni 0.0000 0.1120 0.2500 [4 per cell]  6 P 2.34-2.38
P 0.0000 0.2149 0.7500 [4 per cell]  2 Ni 2.34, 4 P 2.48
P 0.0000 0.4467 0.2500 [4 per cell]  4 Ni 2.38, 2 P 2.39


Computed, not measured: a relaxed Mn2ZnHg crystal at the PBE level of DFT.

Properties
Magnetic moment: 0.7 Bohr magnetons per cell
Energy above the lowest structure with this stoichiometry: 0.0 meV/atom
Fermi-level density of states: 2.9 states/eV per cell
DFT formation energy: 191 meV per atom
ρ: 10.03 g/cm3

Lattice parameters (Å, degrees): 2.9049 2.9049 7.3748 90.00 90.00 90.00
With the nearest neighbours (Å) after each atom.
Space group P4mm (No. 99)
One atom of each set of equivalent atoms:
Mn 0.0000 0.0000 0.0000 [1 per cell]  4 Mn 2.49
Mn 0.5000 0.5000 0.1898 [1 per cell]  4 Mn 2.49, 4 Zn 2.64
Zn 0.0000 0.0000 0.4148 [1 per cell]  4 Mn 2.64, 4 Zn 2.90
Hg 0.5000 0.5000 0.7163 [1 per cell]  4 Hg 2.90, 4 Mn 2.93, 4 Zn 3.03


Computed, not measured: a relaxed La2Pr3Zn3 crystal at the PBE level of DFT.

Properties
Magnetic moment: 0.0 Bohr magnetons per cell
Fermi-level density of states: 20.6 states/eV per cell
DFT formation energy: -205 meV per atom
ρ: 6.51 g/cm3

Lattice parameters (Å, degrees): 3.7877 5.3654 22.5220 90.00 90.00 90.00
With the nearest neighbours (Å) after each atom.
Space group Immm (No. 71)
One atom of each set of equivalent atoms:
La 0.0000 0.0000 0.2277 [4 per cell]  2 Zn 3.20, 4 La 3.43
Pr 0.0000 0.0000 0.0000 [2 per cell]  8 Zn 3.17-3.28
Pr 0.0000 0.5000 0.1149 [4 per cell]  6 Zn 3.21-3.28
Zn 0.0000 0.0000 0.5000 [2 per cell]  8 Pr 3.21-3.28
Zn 0.0000 0.5000 0.3869 [4 per cell]  6 Pr 3.17-3.28, 2 La 3.20


Computed, not measured: a relaxed Tl2In2AgSe4 crystal at the PBE level of DFT.

Properties
Magnetic moment: 0.0 Bohr magnetons per cell
Fermi-level density of states: 5.3 states/eV per cell
ρ: 7.12 g/cm3
Raw formation energy: -0.323 eV per atom

Lattice parameters (Å, degrees): 15.3484 4.2667 7.7227 90.00 101.64 90.00
With the nearest neighbours (Å) after each atom.
Space group C2/m (No. 12)
One atom of each set of equivalent atoms:
Tl 0.1194 0.0000 0.0340 [4 per cell]  7 Se 3.33-3.46, 1 Tl 3.60
In 0.1456 0.5000 0.5345 [4 per cell]  5 Se 2.76-3.04, 2 Ag 3.06
Ag 0.0000 0.0000 0.5000 [2 per cell]  4 Se 2.87, 4 In 3.06
Se 0.0010 0.5000 0.2525 [4 per cell]  2 In 2.78-3.04, 2 Ag 2.87
Se 0.2357 0.0000 0.7132 [4 per cell]  3 In 2.76-2.90


Computed, not measured: a relaxed BaLa3Ir crystal at the PBE level of DFT.

Properties
Magnetic moment: 0.0 Bohr magnetons per cell
Energy above the lowest structure with this stoichiometry: 1.5 meV/atom
Fermi-level density of states: 32.7 states/eV per cell
DFT formation energy: -318 meV per atom
ρ: 6.23 g/cm3

Lattice parameters (Å, degrees): 13.2518 5.8646 11.5018 90.00 117.16 90.00
With the nearest neighbours (Å) after each atom.
Space group C2/m (No. 12)
One atom of each set of equivalent atoms:
Ba 0.1165 0.0000 0.4278 [4 per cell]  9 La 4.05-4.30, 3 Ba 4.12-4.30
La 0.1215 0.5000 0.1750 [4 per cell]  2 Ir 2.83-2.88
La 0.1290 0.5000 0.6877 [4 per cell]  1 Ir 2.77
La 0.1362 0.0000 0.9441 [4 per cell]  3 Ir 2.91-2.94
Ir 0.1169 0.5000 0.9222 [4 per cell]  6 La 2.77-2.94


Computed, not measured: a relaxed NiPI3 crystal at the PBE level of DFT.

Properties
Magnetic moment: 0.0 Bohr magnetons per cell
Energy above the lowest structure with this stoichiometry: 0.0 meV/atom
Fermi-level density of states: 5.0 states/eV per cell
ρ: 5.58 g/cm3
Raw formation energy: 0.685 eV per atom

Lattice parameters (Å, degrees): 5.1908 5.1908 5.1908 90.00 90.00 90.00
With the nearest neighbours (Å) after each atom.
Space group Pm-3m (No. 221)
One atom of each set of equivalent atoms:
Ni 0.0000 0.0000 0.0000 [1 per cell]  6 I 2.60
P 0.5000 0.5000 0.5000 [1 per cell]  12 I 3.67
I 0.0000 0.0000 0.5000 [3 per cell]  2 Ni 2.60


Computed, not measured: a relaxed Pu2AlAu3 crystal at the PBE level of DFT.

Properties
Magnetic moment: 22.9 Bohr magnetons per cell
Energy above the lowest structure with this stoichiometry: 44.9 meV/atom
Fermi-level density of states: 31.1 states/eV per cell
DFT formation energy: -447 meV per atom
ρ: 14.59 g/cm3

Lattice parameters (Å, degrees): 5.8485 5.8485 8.4965 90.00 90.00 120.00
With the nearest neighbours (Å) after each atom.
Space group P6_3/mmc (No. 194)
One atom of each set of equivalent atoms:
Pu 0.3333 0.6667 0.0651 [4 per cell]  1 Pu 3.14, 9 Au 3.16-3.32, 3 Al 3.42
Al 0.0000 0.0000 0.0000 [2 per cell]  6 Au 2.72
Au 0.1682 0.3364 0.7500 [6 per cell]  2 Al 2.72, 4 Au 2.90-2.95


Computed, not measured: a relaxed Mg2Cu2Se3 crystal at the PBE level of DFT.

Properties
Magnetic moment: 0.0 Bohr magnetons per cell
Energy above the lowest structure with this stoichiometry: 35.6 meV/atom
ρ: 3.99 g/cm3
Raw formation energy: -0.624 eV per atom

Lattice parameters (Å, degrees): 15.8003 4.2203 11.7980 90.00 119.24 90.00
With the nearest neighbours (Å) after each atom.
Space group C2/m (No. 12)
One atom of each set of equivalent atoms:
Mg 0.0435 0.0000 0.2817 [4 per cell]  4 Se 2.57-2.61, 2 Cu 2.78
Mg 0.1282 0.5000 0.6728 [4 per cell]  5 Se 2.63-2.81, 1 Cu 2.77
Cu 0.1620 0.5000 0.2942 [4 per cell]  3 Se 2.38-2.52
Cu 0.2467 0.0000 0.0616 [4 per cell]  4 Se 2.40-2.64, 2 Cu 2.59
Se 0.0736 0.5000 0.4231 [4 per cell]  1 Cu 2.52, 4 Mg 2.59-2.81
Se 0.1424 0.0000 0.8303 [4 per cell]  3 Cu 2.40-2.64, 1 Mg 2.57
Se 0.1771 0.0000 0.2119 [4 per cell]  3 Cu 2.38-2.50, 1 Mg 2.61